This record from the Alexandria database describes a relaxed structure of CaAl2In. The functional is PBE.

Values from the calculation:
E = -0.2231 Ry/atom
D(E_F) = 0.505 states/eV per atom
Energy of formation = 0.08 eV per formula unit
M_tot = 0.000 μB/atom

abc: 5.588 6.138 3.131
angles: 76.40 87.51 116.36
Element x y z (fractional)
Ca: 0.000 0.500 0.500
Al: 0.000 0.000 0.000
Al: 0.500 0.000 0.500
In: 0.500 0.500 0.000

=====

This record from the Alexandria database describes a relaxed structure of SrCa2InNi. The functional is PBE.

Values from the calculation:
E = -0.2160 Ry/atom
D(E_F) = 0.572 states/eV per atom
Energy of formation = -0.49 eV per formula unit
M_tot = 0.000 μB/atom

abc: 5.410 5.410 5.655
angles: 90.00 90.00 90.00
Element x y z (fractional)
Sr: 0.000 0.000 0.500
Ca: 0.000 0.500 0.000
Ca: 0.500 0.000 0.000
Ni: 0.000 0.000 0.000
In: 0.500 0.500 0.500